<A>
Compound: CrIr2Ru
Source: Alexandria
Functional: PBE
Structure: relaxed

Structure (extended XYZ):
```
8
Lattice="-3.448 -0.274 -1.420 1.263 -2.361 -2.610 -2.750 -8.103 3.320" Properties=species:S:1:pos:R:3 pbc="T T T"
Ir -3.982 -8.370 -1.022
Ir -0.349 -3.537 -0.987
Ir -2.875 -7.079 0.963
Ir -2.665 -2.491 -0.376
Cr -1.290 -5.891 -0.653
Cr -1.093 -1.318 -2.015
Ru -3.646 -4.848 -0.058
Ru 0.000 0.000 0.000
```

- Space group: I-42d
- Density of states at the Fermi level: 1.19 states/eV per atom
- Total moment: 1.9 μB/f.u.


<B>
Compound: CrIr2Ru
Source: Alexandria
Functional: PBE
Structure: relaxed

Structure (extended XYZ):
```
4
Lattice="3.813 0.000 0.000 0.000 3.806 0.000 0.000 0.000 3.806" Properties=species:S:1:pos:R:3 pbc="T T T"
Ru 1.906 1.903 0.000
Cr 1.906 0.000 1.903
Ir 0.000 0.000 0.000
Ir 0.000 1.903 1.903
```

- Space group: P4/mmm
- Density of states at the Fermi level: 0.66 states/eV per atom
- Total moment: 0.7 μB/f.u.


Bottom line: <B>, by a margin of 0.622 eV/atom.


<A>
Compound: CrIr2Ru
Source: Alexandria
Functional: PBE
Structure: relaxed

Structure (extended XYZ):
```
4
Lattice="4.659 0.015 0.000 1.530 4.401 0.000 -3.095 -2.208 2.694" Properties=species:S:1:pos:R:3 pbc="T T T"
Ru 3.095 2.208 0.000
Cr 2.330 0.008 1.347
Ir 0.000 0.000 0.000
Ir 0.765 2.200 1.347
```

- Space group: I-4m2
- Density of states at the Fermi level: 0.97 states/eV per atom
- Total moment: 0.9 μB/f.u.


<B>
Compound: CrIr2Ru
Source: Alexandria
Functional: PBE
Structure: relaxed

Structure (extended XYZ):
```
4
Lattice="-0.491 -2.417 2.123 0.039 -2.151 -2.441 5.346 -0.569 0.588" Properties=species:S:1:pos:R:3 pbc="T T T"
Ru 2.691 -0.287 0.296
Ir 5.297 -0.564 0.582
Ir 1.118 -2.427 -0.011
Cr 3.806 -2.714 0.284
```

- Space group: P4mm
- Density of states at the Fermi level: 1.58 states/eV per atom
- Total moment: 1.0 μB/f.u.


Bottom line: <A>, by a margin of 0.382 eV/atom.


<A>
Compound: CrIr2Ru
Source: Alexandria
Functional: PBE
Structure: relaxed

Structure (extended XYZ):
```
4
Lattice="-0.299 -2.051 1.725 2.499 -0.841 -0.566 2.710 4.299 5.581" Properties=species:S:1:pos:R:3 pbc="T T T"
Ir 1.379 2.187 2.840
Ir 2.686 4.261 5.532
Cr 3.132 1.778 4.765
Ru 1.777 -0.371 1.975
```

- Space group: P4/mmm
- Density of states at the Fermi level: 1.06 states/eV per atom
- Total moment: 0.5 μB/f.u.


<B>
Compound: CrIr2Ru
Source: Alexandria
Functional: PBE
Structure: relaxed

Structure (extended XYZ):
```
4
Lattice="2.702 0.000 0.000 0.000 3.782 0.000 0.000 0.000 5.394" Properties=species:S:1:pos:R:3 pbc="T T T"
Ir 0.000 0.000 2.724
Ir 0.000 0.000 5.368
Ru 1.351 1.891 1.349
Cr 1.351 1.891 4.046
```

- Space group: Pmmm
- Density of states at the Fermi level: 1.12 states/eV per atom
- Total moment: 1.0 μB/f.u.


<C>
Compound: CrIr2Ru
Source: Alexandria
Functional: PBE
Structure: relaxed

Structure (extended XYZ):
```
4
Lattice="2.711 0.000 0.000 0.000 4.647 0.003 0.000 3.126 4.410" Properties=species:S:1:pos:R:3 pbc="T T T"
Cr 0.000 1.563 2.205
Ir 1.356 2.324 0.002
Ir 0.000 0.000 0.000
Ru 1.356 3.887 2.207
```

- Space group: P2/m
- Density of states at the Fermi level: 0.88 states/eV per atom
- Total moment: 1.3 μB/f.u.


Bottom line: <B>, by a margin of 0.011 eV/atom.


<A>
Compound: CrIr2Ru
Source: Alexandria
Functional: PBE
Structure: relaxed

Structure (extended XYZ):
```
4
Lattice="8.867 -0.008 -0.005 8.457 2.664 -0.005 8.457 1.297 2.327" Properties=species:S:1:pos:R:3 pbc="T T T"
Ir 6.415 0.983 0.577
Ir 0.110 0.017 0.010
Ru 12.810 1.964 1.152
Cr 19.337 2.964 1.738
```

- Space group: R3m
- Density of states at the Fermi level: 1.31 states/eV per atom
- Total moment: 0.0 μB/f.u.


<B>
Compound: CrIr2Ru
Source: Alexandria
Functional: PBE
Structure: relaxed

Structure (extended XYZ):
```
4
Lattice="-2.327 -1.706 3.665 -0.800 -3.717 2.701 3.120 0.751 3.376" Properties=species:S:1:pos:R:3 pbc="T T T"
Ir -0.030 -3.513 7.289
Ir -3.083 -5.394 6.374
Ru -0.019 -2.353 4.882
Cr -0.007 -1.171 2.434
```

- Space group: Cm
- Density of states at the Fermi level: 1.02 states/eV per atom
- Total moment: 1.2 μB/f.u.


<C>
Compound: CrIr2Ru
Source: Alexandria
Functional: PBE
Structure: relaxed

Structure (extended XYZ):
```
4
Lattice="-2.949 1.636 3.247 -2.466 -0.956 3.863 3.039 1.339 3.252" Properties=species:S:1:pos:R:3 pbc="T T T"
Ir -5.394 0.682 7.102
Ir -1.208 1.008 5.189
Ru -1.782 1.515 7.771
Cr -0.594 0.505 2.590
```

- Space group: C2/m
- Density of states at the Fermi level: 0.89 states/eV per atom
- Total moment: 1.5 μB/f.u.


Bottom line: <B>, by a margin of 0.013 eV/atom.


<A>
Compound: CrIr2Ru
Source: Alexandria
Functional: PBE
Structure: relaxed

Structure (extended XYZ):
```
4
Lattice="-0.484 4.550 -0.804 -4.055 -1.725 1.470 0.705 0.528 2.566" Properties=species:S:1:pos:R:3 pbc="T T T"
Cr -1.675 -0.598 2.018
Ir -2.270 1.412 0.333
Ir 0.000 0.000 0.000
Ru 0.111 2.539 0.881
```

- Space group: Cmmm
- Density of states at the Fermi level: 1.00 states/eV per atom
- Total moment: 1.2 μB/f.u.


<B>
Compound: CrIr2Ru
Source: Alexandria
Functional: PBE
Structure: relaxed

Structure (extended XYZ):
```
4
Lattice="-0.095 2.688 0.272 -0.711 -0.287 2.592 7.257 0.056 1.997" Properties=species:S:1:pos:R:3 pbc="T T T"
Ir 1.453 1.215 1.943
Ir 7.144 0.055 1.966
Cr 5.049 1.242 2.932
Ru 3.690 0.028 1.015
```

- Space group: P4mm
- Density of states at the Fermi level: 1.19 states/eV per atom
- Total moment: 0.1 μB/f.u.


Bottom line: <A>, by a margin of 0.087 eV/atom.


<A>
Compound: CrIr2Ru
Source: Alexandria
Functional: PBE
Structure: relaxed

Structure (extended XYZ):
```
4
Lattice="-0.636 4.276 -0.196 -2.976 1.624 -2.690 -3.640 1.721 1.585" Properties=species:S:1:pos:R:3 pbc="T T T"
Ru -5.439 5.717 -0.975
Ir -1.813 1.906 -0.325
Ir 0.000 0.000 0.000
Cr -3.626 3.811 -0.650
```

- Space group: F-43m
- Density of states at the Fermi level: 1.71 states/eV per atom
- Total moment: 0.3 μB/f.u.


<B>
Compound: CrIr2Ru
Source: Alexandria
Functional: PBE
Structure: relaxed

Structure (extended XYZ):
```
4
Lattice="2.783 2.390 2.257 -1.414 2.487 3.219 0.911 -1.034 4.080" Properties=species:S:1:pos:R:3 pbc="T T T"
Ir 0.570 0.961 2.389
Ir 1.710 2.883 7.167
Cr 0.000 0.000 0.000
Ru 1.140 1.922 4.778
```

- Space group: Fm-3m
- Density of states at the Fermi level: 2.21 states/eV per atom
- Total moment: 0.0 μB/f.u.


Bottom line: <A>, by a margin of 0.055 eV/atom.